(1)
! SiAgAs2Br, relaxed, DFT PBE; values from VASP
! - Space group: No. 123
! - Spin magnetization: 1.1 μB per cell
! - Energy relative to the elements, uncorrected: 1.021 eV per atom
&SYSTEM
  ibrav = 0, nat = 5, ntyp = 4
/
ATOMIC_SPECIES
Si 28.09 Si.upf
Ag 107.87 Ag.upf
As 74.92 As.upf
Br 79.90 Br.upf
CELL_PARAMETERS angstrom
4.9968 0.0000 0.0000
0.0000 4.9968 0.0000
0.0000 0.0000 5.3319
ATOMIC_POSITIONS angstrom
Si 0.0000 0.0000 0.0000
Ag 2.4984 2.4984 2.6660
As 0.0000 2.4984 2.6660
As 2.4984 0.0000 2.6660
Br 2.4984 2.4984 0.0000

***

(2)
! AgSnAs2Br, relaxed, DFT PBE; values from VASP
! - Space group: No. 123
! - Spin magnetization: 1.1 μB per cell
! - Energy relative to the elements, uncorrected: 0.558 eV per atom
&SYSTEM
  ibrav = 0, nat = 5, ntyp = 4
/
ATOMIC_SPECIES
Ag 107.87 Ag.upf
Sn 118.71 Sn.upf
As 74.92 As.upf
Br 79.90 Br.upf
CELL_PARAMETERS angstrom
4.9700 0.0000 0.0000
0.0000 4.9700 0.0000
0.0000 0.0000 5.6668
ATOMIC_POSITIONS angstrom
Ag 0.0000 0.0000 0.0000
Sn 2.4850 2.4850 2.8334
As 0.0000 2.4850 0.0000
As 2.4850 0.0000 0.0000
Br 0.0000 0.0000 2.8334

***

(3)
! Ag2SnAsBr, relaxed, DFT PBE; values from VASP
! - Space group: No. 123
! - Spin magnetization: 0.0 μB per cell
! - Energy relative to the elements, uncorrected: 0.332 eV per atom
&SYSTEM
  ibrav = 0, nat = 5, ntyp = 4
/
ATOMIC_SPECIES
Ag 107.87 Ag.upf
Sn 118.71 Sn.upf
As 74.92 As.upf
Br 79.90 Br.upf
CELL_PARAMETERS angstrom
4.9517 0.0000 0.0000
0.0000 4.9517 0.0000
0.0000 0.0000 5.6303
ATOMIC_POSITIONS angstrom
Ag 0.0000 2.4758 0.0000
Ag 2.4758 0.0000 0.0000
Sn 0.0000 0.0000 2.8151
As 2.4758 2.4758 0.0000
Br 2.4758 2.4758 2.8151

***

(4)
! SrAgAs2Br, relaxed, DFT PBE; values from VASP
! - Space group: No. 123
! - Spin magnetization: 2.0 μB per cell
! - Energy relative to the elements, uncorrected: 0.501 eV per atom
&SYSTEM
  ibrav = 0, nat = 5, ntyp = 4
/
ATOMIC_SPECIES
Sr 87.62 Sr.upf
Ag 107.87 Ag.upf
As 74.92 As.upf
Br 79.90 Br.upf
CELL_PARAMETERS angstrom
5.9385 0.0000 0.0000
0.0000 5.9385 0.0000
0.0000 0.0000 5.7605
ATOMIC_POSITIONS angstrom
Sr 0.0000 0.0000 0.0000
Ag 2.9692 2.9692 2.8803
As 0.0000 2.9692 0.0000
As 2.9692 0.0000 0.0000
Br 0.0000 0.0000 2.8803

***

(5)
! SrAgAsBr2, relaxed, DFT PBE; values from VASP
! - Space group: No. 123
! - Spin magnetization: 2.0 μB per cell
! - Energy relative to the elements, uncorrected: -0.220 eV per atom
&SYSTEM
  ibrav = 0, nat = 5, ntyp = 4
/
ATOMIC_SPECIES
Sr 87.62 Sr.upf
Ag 107.87 Ag.upf
As 74.92 As.upf
Br 79.90 Br.upf
CELL_PARAMETERS angstrom
5.8438 0.0000 0.0000
0.0000 5.8438 0.0000
0.0000 0.0000 6.2778
ATOMIC_POSITIONS angstrom
Sr 0.0000 0.0000 0.0000
Ag 2.9219 2.9219 3.1389
As 0.0000 0.0000 3.1389
Br 0.0000 2.9219 0.0000
Br 2.9219 0.0000 0.0000

***

(6)
! SrAgAsBr2, relaxed, DFT PBE; values from VASP
! - Space group: No. 123
! - Spin magnetization: 1.3 μB per cell
! - Energy relative to the elements, uncorrected: -0.498 eV per atom
&SYSTEM
  ibrav = 0, nat = 5, ntyp = 4
/
ATOMIC_SPECIES
Sr 87.62 Sr.upf
Ag 107.87 Ag.upf
As 74.92 As.upf
Br 79.90 Br.upf
CELL_PARAMETERS angstrom
5.4184 0.0000 0.0000
0.0000 5.4184 0.0000
0.0000 0.0000 5.1735
ATOMIC_POSITIONS angstrom
Sr 0.0000 0.0000 0.0000
Ag 2.7092 2.7092 2.5868
As 2.7092 2.7092 0.0000
Br 0.0000 2.7092 2.5868
Br 2.7092 0.0000 2.5868

***

(7)
! SrAgAs2Br, relaxed, DFT PBE; values from VASP
! - Space group: No. 123
! - Spin magnetization: 0.8 μB per cell
! - Energy relative to the elements, uncorrected: -0.179 eV per atom
&SYSTEM
  ibrav = 0, nat = 5, ntyp = 4
/
ATOMIC_SPECIES
Sr 87.62 Sr.upf
Ag 107.87 Ag.upf
As 74.92 As.upf
Br 79.90 Br.upf
CELL_PARAMETERS angstrom
4.9417 0.0000 0.0000
0.0000 4.9417 0.0000
0.0000 0.0000 6.0324
ATOMIC_POSITIONS angstrom
Sr 0.0000 0.0000 0.0000
Ag 2.4708 2.4708 3.0162
As 0.0000 2.4708 3.0162
As 2.4708 0.0000 3.0162
Br 2.4708 2.4708 0.0000

***

(8)
! TaAgAs2Br, relaxed, DFT PBE; values from VASP
! - Space group: No. 123
! - Spin magnetization: 0.0 μB per cell
! - Energy relative to the elements, uncorrected: 0.316 eV per atom
&SYSTEM
  ibrav = 0, nat = 5, ntyp = 4
/
ATOMIC_SPECIES
Ta 180.95 Ta.upf
Ag 107.87 Ag.upf
As 74.92 As.upf
Br 79.90 Br.upf
CELL_PARAMETERS angstrom
5.0084 0.0000 0.0000
0.0000 5.0084 0.0000
0.0000 0.0000 5.2487
ATOMIC_POSITIONS angstrom
Ta 0.0000 0.0000 0.0000
Ag 2.5042 2.5042 2.6243
As 0.0000 2.5042 0.0000
As 2.5042 0.0000 0.0000
Br 0.0000 0.0000 2.6243

***

(9)
! TaAgAsBr2, relaxed, DFT PBE; values from VASP
! - Space group: No. 123
! - Spin magnetization: 2.0 μB per cell
! - Energy relative to the elements, uncorrected: 1.203 eV per atom
&SYSTEM
  ibrav = 0, nat = 5, ntyp = 4
/
ATOMIC_SPECIES
Ta 180.95 Ta.upf
Ag 107.87 Ag.upf
As 74.92 As.upf
Br 79.90 Br.upf
CELL_PARAMETERS angstrom
5.0832 0.0000 0.0000
0.0000 5.0832 0.0000
0.0000 0.0000 5.1899
ATOMIC_POSITIONS angstrom
Ta 0.0000 0.0000 0.0000
Ag 2.5416 2.5416 2.5949
As 2.5416 2.5416 0.0000
Br 0.0000 2.5416 2.5949
Br 2.5416 0.0000 2.5949

***

(10)
! TaAgAsBr2, relaxed, DFT PBE; values from VASP
! - Space group: No. 123
! - Spin magnetization: 0.0 μB per cell
! - Energy relative to the elements, uncorrected: 0.200 eV per atom
&SYSTEM
  ibrav = 0, nat = 5, ntyp = 4
/
ATOMIC_SPECIES
Ta 180.95 Ta.upf
Ag 107.87 Ag.upf
As 74.92 As.upf
Br 79.90 Br.upf
CELL_PARAMETERS angstrom
5.1242 0.0000 0.0000
0.0000 5.1242 0.0000
0.0000 0.0000 5.1152
ATOMIC_POSITIONS angstrom
Ta 0.0000 0.0000 0.0000
Ag 2.5621 2.5621 2.5576
As 0.0000 0.0000 2.5576
Br 0.0000 2.5621 0.0000
Br 2.5621 0.0000 0.0000

***

(11)
! TaAgAs2Br, relaxed, DFT PBE; values from VASP
! - Space group: No. 123
! - Spin magnetization: 2.0 μB per cell
! - Energy relative to the elements, uncorrected: 1.568 eV per atom
&SYSTEM
  ibrav = 0, nat = 5, ntyp = 4
/
ATOMIC_SPECIES
Ta 180.95 Ta.upf
Ag 107.87 Ag.upf
As 74.92 As.upf
Br 79.90 Br.upf
CELL_PARAMETERS angstrom
5.0830 0.0000 0.0000
0.0000 5.0830 0.0000
0.0000 0.0000 4.8227
ATOMIC_POSITIONS angstrom
Ta 0.0000 0.0000 0.0000
Ag 2.5415 2.5415 0.0000
As 0.0000 2.5415 2.4114
As 2.5415 0.0000 2.4114
Br 2.5415 2.5415 2.4114

***

(12)
! TcAgAs2Br, relaxed, DFT PBE; values from VASP
! - Space group: No. 123
! - Spin magnetization: 0.0 μB per cell
! - Energy relative to the elements, uncorrected: 0.432 eV per atom
&SYSTEM
  ibrav = 0, nat = 5, ntyp = 4
/
ATOMIC_SPECIES
Tc 98.00 Tc.upf
Ag 107.87 Ag.upf
As 74.92 As.upf
Br 79.90 Br.upf
CELL_PARAMETERS angstrom
4.7093 0.0000 0.0000
0.0000 4.7093 0.0000
0.0000 0.0000 5.6270
ATOMIC_POSITIONS angstrom
Tc 0.0000 0.0000 0.0000
Ag 2.3547 2.3547 2.8135
As 0.0000 2.3547 0.0000
As 2.3547 0.0000 0.0000
Br 0.0000 0.0000 2.8135

***

> energy relative to the elements, uncorrected of number 11 (TaAgAs2Br)?

1.568 eV per atom